1.
A crystal of Cr3SbS relaxed with PBEsol. Source: Alexandria, functional meta-GGA SCAN.

Summary:
Energy relative to the elements, uncorrected ... 0.3273 eV/atom

Cell and atoms, written as CIF:
```
data_Cr3SbS
_symmetry_space_group_name_H-M 'P m -3 m'
_symmetry_Int_Tables_number 221
_symmetry_space_group_name_Hall '-P 4 2 3'
_cell_length_a 4.1695
_cell_length_b 4.1695
_cell_length_c 4.1695
_cell_angle_alpha 90.00
_cell_angle_beta 90.00
_cell_angle_gamma 90.00
loop_
_atom_site_label
_atom_site_type_symbol
_atom_site_fract_x
_atom_site_fract_y
_atom_site_fract_z
Cr1 Cr 0.0000 0.0000 0.5000
Sb1 Sb 0.5000 0.5000 0.5000
S1 S 0.0000 0.0000 0.0000
```


2.
A crystal of ScCrSiS2 relaxed with PBEsol. Source: Alexandria, functional meta-GGA SCAN.

Summary:
Energy relative to the elements, uncorrected ... 0.1385 eV/atom

Cell and atoms, written as CIF:
```
data_ScCrSiS2
_symmetry_space_group_name_H-M 'P 4/m m m'
_symmetry_Int_Tables_number 123
_symmetry_space_group_name_Hall '-P 4 2'
_cell_length_a 4.5912
_cell_length_b 4.5912
_cell_length_c 4.4476
_cell_angle_alpha 90.00
_cell_angle_beta 90.00
_cell_angle_gamma 90.00
loop_
_atom_site_label
_atom_site_type_symbol
_atom_site_fract_x
_atom_site_fract_y
_atom_site_fract_z
Sc1 Sc 0.0000 0.0000 0.0000
Cr1 Cr 0.5000 0.5000 0.0000
Si1 Si 0.5000 0.5000 0.5000
S1 S 0.0000 0.5000 0.5000
```


3.
A crystal of ScCrTcS2 relaxed with PBEsol. Source: Alexandria, functional meta-GGA SCAN.

Summary:
Energy relative to the elements, uncorrected ... 0.2446 eV/atom

Cell and atoms, written as CIF:
```
data_ScCrTcS2
_symmetry_space_group_name_H-M 'P 4/m m m'
_symmetry_Int_Tables_number 123
_symmetry_space_group_name_Hall '-P 4 2'
_cell_length_a 4.5526
_cell_length_b 4.5526
_cell_length_c 4.8575
_cell_angle_alpha 90.00
_cell_angle_beta 90.00
_cell_angle_gamma 90.00
loop_
_atom_site_label
_atom_site_type_symbol
_atom_site_fract_x
_atom_site_fract_y
_atom_site_fract_z
Sc1 Sc 0.0000 0.0000 0.0000
Cr1 Cr 0.5000 0.5000 0.0000
Tc1 Tc 0.0000 0.0000 0.5000
S1 S 0.0000 0.5000 0.5000
```


4.
A crystal of TiCr2SeS relaxed with PBEsol. Source: Alexandria, functional meta-GGA SCAN.

Summary:
Energy relative to the elements, uncorrected ... 0.3058 eV/atom

Cell and atoms, written as CIF:
```
data_TiCr2SeS
_symmetry_space_group_name_H-M 'P 4/m m m'
_symmetry_Int_Tables_number 123
_symmetry_space_group_name_Hall '-P 4 2'
_cell_length_a 4.1323
_cell_length_b 4.1323
_cell_length_c 5.2177
_cell_angle_alpha 90.00
_cell_angle_beta 90.00
_cell_angle_gamma 90.00
loop_
_atom_site_label
_atom_site_type_symbol
_atom_site_fract_x
_atom_site_fract_y
_atom_site_fract_z
Ti1 Ti 0.0000 0.0000 0.0000
Cr1 Cr 0.0000 0.5000 0.5000
Se1 Se 0.5000 0.5000 0.0000
S1 S 0.5000 0.5000 0.5000
```


5.
A crystal of Y6CrSi2S14 relaxed with PBEsol. Source: Alexandria, functional meta-GGA SCAN.

Summary:
Energy relative to the elements, uncorrected ... -1.8548 eV/atom

Cell and atoms, written as CIF:
```
data_Y6CrSi2S14
_symmetry_space_group_name_H-M 'P 3'
_symmetry_Int_Tables_number 143
_cell_length_a 9.6845
_cell_length_b 9.6845
_cell_length_c 5.5814
_cell_angle_alpha 90.00
_cell_angle_beta 90.00
_cell_angle_gamma 120.00
loop_
_symmetry_equiv_pos_as_xyz
'x,y,z'
'-y,x-y,z'
'-x+y,-x,z'
loop_
_atom_site_label
_atom_site_type_symbol
_atom_site_fract_x
_atom_site_fract_y
_atom_site_fract_z
Y1 Y 0.0218 0.5590 0.0000
Y2 Y 0.3091 0.1066 0.4988
Cr1 Cr 0.6667 0.3333 0.2792
Si1 Si 0.0000 0.0000 0.9184
Si2 Si 0.3333 0.6667 0.4111
S1 S 0.0000 0.0000 0.2940
S2 S 0.0840 0.8524 0.7696
S3 S 0.1874 0.4354 0.2620
S4 S 0.3333 0.6667 0.7867
S5 S 0.4257 0.1825 0.0420
S6 S 0.5110 0.4206 0.5052
```


6.
A crystal of CrSnS2 relaxed with PBEsol. Source: Alexandria, functional meta-GGA SCAN.

Summary:
Energy relative to the elements, uncorrected ... -0.7717 eV/atom

Cell and atoms, written as CIF:
```
data_CrSnS2
_symmetry_space_group_name_H-M 'R -3 m'
_symmetry_Int_Tables_number 166
_symmetry_space_group_name_Hall '-R 3 2"'
_cell_length_a 3.3936
_cell_length_b 3.3936
_cell_length_c 24.1813
_cell_angle_alpha 90.00
_cell_angle_beta 90.00
_cell_angle_gamma 120.00
loop_
_atom_site_label
_atom_site_type_symbol
_atom_site_fract_x
_atom_site_fract_y
_atom_site_fract_z
Cr1 Cr 0.0000 0.0000 0.0000
Sn1 Sn 0.0000 0.0000 0.5000
S1 S 0.0000 0.0000 0.3863
```


Q: The highest energy relative to the elements, uncorrected belongs to which entry?
A: Cr3SbS